DFT (PBE) results for an optimized crystal structure of HfPa2Hg.

Structure (CIF):
```
data_HfPa2Hg
_chemical_formula_sum 'Hf1 Pa2 Hg1'
_symmetry_space_group_name_H-M 'P 4/m m m'
_symmetry_Int_Tables_number 123
_symmetry_space_group_name_Hall '-P 4 2'
_cell_length_a 4.311
_cell_length_b 4.311
_cell_length_c 5.026
_cell_angle_alpha 90.00
_cell_angle_beta 90.00
_cell_angle_gamma 90.00
loop_
_atom_site_label
_atom_site_type_symbol
_atom_site_fract_x
_atom_site_fract_y
_atom_site_fract_z
Hf1 Hf 0.000 0.000 0.000
Pa1 Pa 0.000 0.500 0.500
Hg1 Hg 0.500 0.500 0.000
```

DFT (PBE) results for an optimized crystal structure of HfPaHg2.

Structure (CIF):
```
data_HfPaHg2
_chemical_formula_sum 'Hf4 Pa4 Hg8'
_symmetry_space_group_name_H-M 'F m -3 m'
_symmetry_Int_Tables_number 225
_symmetry_space_group_name_Hall '-F 4 2 3'
_cell_length_a 7.269
_cell_length_b 7.269
_cell_length_c 7.269
_cell_angle_alpha 90.00
_cell_angle_beta 90.00
_cell_angle_gamma 90.00
loop_
_atom_site_label
_atom_site_type_symbol
_atom_site_fract_x
_atom_site_fract_y
_atom_site_fract_z
Hf1 Hf 0.000 0.000 0.000
Pa1 Pa 0.000 0.000 0.500
Hg1 Hg 0.250 0.250 0.250
```

DFT (PBE) results for an optimized crystal structure of Hf2PaHg2.

Structure (CIF):
```
data_Hf2PaHg2
_chemical_formula_sum 'Hf4 Pa2 Hg4'
_symmetry_space_group_name_H-M 'C m m m'
_symmetry_Int_Tables_number 65
_symmetry_space_group_name_Hall '-C 2 2'
_cell_length_a 3.138
_cell_length_b 23.645
_cell_length_c 3.133
_cell_angle_alpha 90.00
_cell_angle_beta 90.00
_cell_angle_gamma 90.00
loop_
_atom_site_label
_atom_site_type_symbol
_atom_site_fract_x
_atom_site_fract_y
_atom_site_fract_z
Hf1 Hf 0.000 0.102 0.000
Pa1 Pa 0.000 0.500 0.500
Hg1 Hg 0.000 0.304 0.500
```

| no. | E (eV per atom) |
| --- | --- |
| 1 | -7.242 |
| 2 | -4.831 |
| 3 | -5.949 |